# Tm3Mg3Tl2Ga

An optimized crystal structure of Tm3Mg3Tl2Ga (GGA-PBE, OQMD via LeMat-Bulk).

Cell: 7.4512 7.4512 4.5028 Å, 90.00 90.00 120.00°
Fractional coordinates of all 9 atoms:
Ga 0.0000 0.0000 0.0000
Mg 0.2367 0.0000 0.5000
Mg 0.0000 0.2367 0.5000
Mg 0.7633 0.7633 0.5000
Tl 0.6667 0.3333 0.5000
Tl 0.3333 0.6667 0.5000
Tm 0.5818 0.0000 0.0000
Tm 0.4182 0.4182 0.0000
Tm 0.0000 0.5818 0.0000

Results
DFT total energy: -0.236 Ry/atom
space-group type: P-62m

---

# PmGaRe

An optimized crystal structure of PmGaRe (GGA-PBE, OQMD via LeMat-Bulk).

Cell: 4.5425 4.5425 4.5425 Å, 60.00 60.00 60.00°
Each line ends with the local moment (μB).
Fractional coordinates of all 3 atoms:
Ga 0.0000 0.0000 0.0000  0.00
Pm 0.2500 0.2500 0.2500  -0.01
Re 0.7500 0.7500 0.7500  0.22

Results
distance to the lowest polymorph of the same formula: 0 meV/atom
space-group type: F-43m

---

# ZnB4Pt

An optimized crystal structure of ZnB4Pt (GGA-PBE, OQMD via LeMat-Bulk).

Cell: 4.7109 4.7109 4.7109 Å, 142.83 112.32 79.83°
Fractional coordinates of all 6 atoms:
B 0.5737 0.2393 0.3344
B 0.0951 0.7607 0.3344
B 0.9049 0.2393 0.6656
B 0.4263 0.7607 0.6656
Pt 0.0000 0.0000 0.0000
Zn 0.5000 0.5000 0.0000

Results
distance to the lowest polymorph of the same formula: 0 meV/atom
space-group type: Immm

---

# Pu3Zn4

An optimized crystal structure of Pu3Zn4 (GGA-PBE, OQMD via LeMat-Bulk).

Cell: 8.2633 8.2734 4.8003 Å, 90.00 90.00 59.99°
Each line ends with the local moment (μB).
Fractional coordinates of all 14 atoms:
Pu 0.1469 0.2729 0.0000  5.47
Pu 0.2952 0.5747 0.0000  5.48
Pu 0.8431 0.7245 0.0000  5.47
Pu 0.3774 0.1084 0.5000  5.47
Pu 0.6793 0.6574 0.5000  5.48
Pu 0.2286 0.8051 0.5000  5.48
Zn 0.9750 0.0147 0.0000  0.02
Zn 0.5869 0.1538 0.0000  0.02
Zn 0.7255 0.4027 0.0000  0.02
Zn 0.4274 0.8576 0.0000  0.03
Zn 0.9380 0.2270 0.5000  0.02
Zn 0.5498 0.3658 0.5000  0.02
Zn 0.0946 0.5238 0.5000  0.03
Zn 0.7989 0.9781 0.5000  0.02

Results
distance to the lowest polymorph of the same formula: 0 meV/atom
space-group type: Pm

---

# HoCdH2Cl2O2

An optimized crystal structure of HoCdH2Cl2O2 (GGA-PBE, OQMD via LeMat-Bulk).

Cell: 3.8803 3.8803 10.2774 Å, 90.00 90.00 120.00°
Each line ends with the local moment (μB).
Fractional coordinates of all 8 atoms:
Cd 0.3333 0.6667 0.0198  0.01
Cl 0.3333 0.6667 0.3703  0.00
Cl 0.0000 0.0000 0.7897  0.00
H 0.6667 0.3333 0.1769  0.00
H 0.6667 0.3333 0.6818  0.00
Ho 0.0000 0.0000 0.5360  0.16
O 0.6667 0.3333 0.0812  0.01
O 0.6667 0.3333 0.5853  0.01

Results
DFT total energy: -0.348 Ry/atom
space-group type: P3m1

---

# BeCdCuPb

An optimized crystal structure of BeCdCuPb (GGA-PBE, OQMD via LeMat-Bulk).

Cell: 4.6912 4.6912 4.6912 Å, 60.00 60.00 60.00°
Fractional coordinates of all 4 atoms:
Be 0.2500 0.2500 0.2500
Cd 0.5000 0.5000 0.5000
Cu 0.7500 0.7500 0.7500
Pb 0.0000 0.0000 0.0000

Results
distance to the lowest polymorph of the same formula: 0 meV/atom
space-group type: F-43m

---

# Zr4NiBiN2

An optimized crystal structure of Zr4NiBiN2 (GGA-PBE, OQMD via LeMat-Bulk).

Cell: 3.3387 3.3387 13.7541 Å, 90.00 90.00 120.00°
Fractional coordinates of all 8 atoms:
Bi 0.0000 0.0000 0.0000
N 0.3333 0.6667 0.2703
N 0.3333 0.6667 0.7297
Ni 0.6667 0.3333 0.5000
Zr 0.6667 0.3333 0.1783
Zr 0.0000 0.0000 0.3625
Zr 0.0000 0.0000 0.6375
Zr 0.6667 0.3333 0.8217

Results
DFT total energy: -0.621 Ry/atom
space-group type: P-6m2

---

# YLuCo

An optimized crystal structure of YLuCo (GGA-PBE, OQMD via LeMat-Bulk).

Cell: 4.6506 4.6506 4.6506 Å, 60.00 60.00 60.00°
Fractional coordinates of all 3 atoms:
Co 0.2500 0.2500 0.2500
Lu 0.7500 0.7500 0.7500
Y 0.0000 0.0000 0.0000

Results
DFT total energy: -0.379 Ry/atom
space-group type: F-43m

---

# YPdNO

An optimized crystal structure of YPdNO (GGA-PBE, OQMD via LeMat-Bulk).

Cell: 4.7925 4.7925 4.4996 Å, 90.00 90.00 90.00°
Fractional coordinates of all 8 atoms:
N 0.2500 0.2500 0.0036
N 0.7500 0.7500 0.9964
O 0.7500 0.2500 0.5000
O 0.2500 0.7500 0.5000
Pd 0.7500 0.7500 0.4973
Pd 0.2500 0.2500 0.5027
Y 0.7500 0.2500 0.0000
Y 0.2500 0.7500 0.0000

Results
distance to the lowest polymorph of the same formula: 342 meV/atom
space-group type: P4/nmm

---

# SmDy2Al3Cu2Ni

An optimized crystal structure of SmDy2Al3Cu2Ni (GGA-PBE, OQMD via LeMat-Bulk).

Cell: 4.0397 6.9814 6.9814 Å, 119.57 90.00 90.00°
Fractional coordinates of all 9 atoms:
Al 0.5000 0.7719 0.0018
Al 0.5000 0.2290 0.2290
Al 0.5000 0.0018 0.7719
Cu 0.5000 0.6678 0.3280
Cu 0.5000 0.3280 0.6678
Dy 0.0000 0.9991 0.4107
Dy 0.0000 0.4107 0.9991
Ni 0.0000 0.0042 0.0042
Sm 0.0000 0.5874 0.5874

Results
DFT total energy: -0.348 Ry/atom
space-group type: Amm2

---

# MgCdAg2

An optimized crystal structure of MgCdAg2 (GGA-PBE, OQMD via LeMat-Bulk).

Cell: 4.6664 4.6664 8.5245 Å, 90.00 90.00 120.00°
Fractional coordinates of all 8 atoms:
Ag 0.6667 0.3333 0.0860
Ag 0.6667 0.3333 0.4140
Ag 0.3333 0.6667 0.5860
Ag 0.3333 0.6667 0.9140
Cd 0.3333 0.6667 0.2500
Cd 0.6667 0.3333 0.7500
Mg 0.0000 0.0000 0.0000
Mg 0.0000 0.0000 0.5000

Results
DFT total energy: -0.158 Ry/atom
space-group type: P6_3/mmc

---

# LaDyRe

An optimized crystal structure of LaDyRe (GGA-PBE, OQMD via LeMat-Bulk).

Cell: 4.8305 4.8305 4.8305 Å, 60.00 60.00 60.00°
Each line ends with the local moment (μB).
Fractional coordinates of all 3 atoms:
Dy 0.0000 0.0000 0.0000  0.00
La 0.2500 0.2500 0.2500  -0.01
Re 0.7500 0.7500 0.7500  0.11

Results
distance to the lowest polymorph of the same formula: 0 meV/atom
space-group type: F-43m